# CaRePt2 PBEsol relaxed
data_CaRePt2
_chemical_formula_sum 'Ca2 Re2 Pt4'
_symmetry_space_group_name_H-M 'C 1 m 1'
_symmetry_Int_Tables_number 8
_cell_length_a 10.136
_cell_length_b 2.757
_cell_length_c 4.864
_cell_angle_alpha 90.00
_cell_angle_beta 104.21
_cell_angle_gamma 90.00
loop_
_symmetry_equiv_pos_as_xyz
'x,y,z'
'x,-y,z'
'x+1/2,y+1/2,z'
'x+1/2,-y+1/2,z'
loop_
_atom_site_label
_atom_site_fract_x
_atom_site_fract_y
_atom_site_fract_z
_atom_site_occupancy
Ca1 0.000 0.000 0.000 1
Re1 0.211 0.000 0.614 1
Pt1 0.254 0.500 0.133 1
Pt2 0.475 0.000 0.500 1
# Formation energy (eV per atom): -0.138

---

# CaRePt2 PBEsol relaxed
data_CaRePt2
_chemical_formula_sum 'Ca4 Re4 Pt8'
_symmetry_space_group_name_H-M 'F m -3 m'
_symmetry_Int_Tables_number 225
_symmetry_space_group_name_Hall '-F 4 2 3'
_cell_length_a 6.465
_cell_length_b 6.465
_cell_length_c 6.465
_cell_angle_alpha 90.00
_cell_angle_beta 90.00
_cell_angle_gamma 90.00
loop_
_atom_site_label
_atom_site_fract_x
_atom_site_fract_y
_atom_site_fract_z
_atom_site_occupancy
Ca1 0.000 0.000 0.000 1
Re1 0.000 0.000 0.500 1
Pt1 0.250 0.250 0.250 1
# Formation energy (eV per atom): 0.215

---

# CaReRu2Pt PBEsol relaxed
data_CaReRu2Pt
_chemical_formula_sum 'Ca1 Re1 Ru2 Pt1'
_symmetry_space_group_name_H-M 'P 4/m m m'
_symmetry_Int_Tables_number 123
_symmetry_space_group_name_Hall '-P 4 2'
_cell_length_a 4.546
_cell_length_b 4.546
_cell_length_c 5.178
_cell_angle_alpha 90.00
_cell_angle_beta 90.00
_cell_angle_gamma 90.00
loop_
_atom_site_label
_atom_site_fract_x
_atom_site_fract_y
_atom_site_fract_z
_atom_site_occupancy
Ca1 0.000 0.000 0.000 1
Re1 0.000 0.000 0.500 1
Ru1 0.000 0.500 0.500 1
Pt1 0.500 0.500 0.000 1
# Formation energy (eV per atom): 1.540

---

# CaPtRh2 PBEsol relaxed
data_CaPtRh2
_chemical_formula_sum 'Ca2 Pt2 Rh4'
_symmetry_space_group_name_H-M 'I -4 m 2'
_symmetry_Int_Tables_number 119
_symmetry_space_group_name_Hall 'I -4 -2'
_cell_length_a 3.987
_cell_length_b 3.987
_cell_length_c 7.972
_cell_angle_alpha 90.00
_cell_angle_beta 90.00
_cell_angle_gamma 90.00
loop_
_atom_site_label
_atom_site_fract_x
_atom_site_fract_y
_atom_site_fract_z
_atom_site_occupancy
Ca1 0.000 0.000 0.000 1
Pt1 0.000 0.500 0.250 1
Rh1 0.000 0.000 0.500 1
Rh2 0.000 0.500 0.750 1
# Formation energy (eV per atom): -0.114

---

# CaPtRh2 PBEsol relaxed
data_CaPtRh2
_chemical_formula_sum 'Ca1 Pt1 Rh2'
_symmetry_space_group_name_H-M 'P 4/m m m'
_symmetry_Int_Tables_number 123
_symmetry_space_group_name_Hall '-P 4 2'
_cell_length_a 2.859
_cell_length_b 2.859
_cell_length_c 7.964
_cell_angle_alpha 90.00
_cell_angle_beta 90.00
_cell_angle_gamma 90.00
loop_
_atom_site_label
_atom_site_fract_x
_atom_site_fract_y
_atom_site_fract_z
_atom_site_occupancy
Ca1 0.000 0.000 0.000 1
Pt1 0.000 0.000 0.500 1
Rh1 0.500 0.500 0.280 1
# Formation energy (eV per atom): 0.020

---

# CaPtRh2 PBEsol relaxed
data_CaPtRh2
_chemical_formula_sum 'Ca1 Pt1 Rh2'
_symmetry_space_group_name_H-M 'P 4 m m'
_symmetry_Int_Tables_number 99
_cell_length_a 3.255
_cell_length_b 3.255
_cell_length_c 6.361
_cell_angle_alpha 90.00
_cell_angle_beta 90.00
_cell_angle_gamma 90.00
loop_
_symmetry_equiv_pos_as_xyz
'x,y,z'
'-y,x,z'
'-x,-y,z'
'y,-x,z'
'-x,y,z'
'y,x,z'
'x,-y,z'
'-y,-x,z'
loop_
_atom_site_label
_atom_site_fract_x
_atom_site_fract_y
_atom_site_fract_z
_atom_site_occupancy
Ca1 0.000 0.000 0.000 1
Pt1 0.500 0.500 0.289 1
Rh1 0.000 0.000 0.507 1
Rh2 0.500 0.500 0.703 1
# Formation energy (eV per atom): -0.022

---

# CaPtRh2 PBEsol relaxed
data_CaPtRh2
_chemical_formula_sum 'Ca2 Pt2 Rh4'
_symmetry_space_group_name_H-M 'I 4/m m m'
_symmetry_Int_Tables_number 139
_symmetry_space_group_name_Hall '-I 4 2'
_cell_length_a 4.017
_cell_length_b 4.017
_cell_length_c 7.850
_cell_angle_alpha 90.00
_cell_angle_beta 90.00
_cell_angle_gamma 90.00
loop_
_atom_site_label
_atom_site_fract_x
_atom_site_fract_y
_atom_site_fract_z
_atom_site_occupancy
Ca1 0.000 0.000 0.000 1
Pt1 0.000 0.000 0.500 1
Rh1 0.000 0.500 0.250 1
# Formation energy (eV per atom): -0.094

---

# Ca2RuPt PBEsol relaxed
data_Ca2RuPt
_chemical_formula_sum 'Ca2 Ru1 Pt1'
_symmetry_space_group_name_H-M 'P m m 2'
_symmetry_Int_Tables_number 25
_cell_length_a 2.848
_cell_length_b 4.725
_cell_length_c 5.775
_cell_angle_alpha 90.00
_cell_angle_beta 90.00
_cell_angle_gamma 90.00
loop_
_symmetry_equiv_pos_as_xyz
'x,y,z'
'-x,-y,z'
'-x,y,z'
'x,-y,z'
loop_
_atom_site_label
_atom_site_fract_x
_atom_site_fract_y
_atom_site_fract_z
_atom_site_occupancy
Ca1 0.000 0.000 0.000 1
Ca2 0.500 0.500 0.347 1
Ru1 0.500 0.500 0.820 1
Pt1 0.000 0.000 0.523 1
# Formation energy (eV per atom): 0.156

---

# Ca2RuPt PBEsol relaxed
data_Ca2RuPt
_chemical_formula_sum 'Ca4 Ru2 Pt2'
_symmetry_space_group_name_H-M 'C m m m'
_symmetry_Int_Tables_number 65
_symmetry_space_group_name_Hall '-C 2 2'
_cell_length_a 6.412
_cell_length_b 7.846
_cell_length_c 3.061
_cell_angle_alpha 90.00
_cell_angle_beta 90.00
_cell_angle_gamma 90.00
loop_
_atom_site_label
_atom_site_fract_x
_atom_site_fract_y
_atom_site_fract_z
_atom_site_occupancy
Ca1 0.250 0.250 0.000 1
Ru1 0.000 0.000 0.500 1
Pt1 0.000 0.500 0.500 1
# Formation energy (eV per atom): -0.031

---

# CaRu3Pt PBEsol relaxed
data_CaRu3Pt
_chemical_formula_sum 'Ca1 Ru3 Pt1'
_symmetry_space_group_name_H-M 'P m -3 m'
_symmetry_Int_Tables_number 221
_symmetry_space_group_name_Hall '-P 4 2 3'
_cell_length_a 4.728
_cell_length_b 4.728
_cell_length_c 4.728
_cell_angle_alpha 90.00
_cell_angle_beta 90.00
_cell_angle_gamma 90.00
loop_
_atom_site_label
_atom_site_fract_x
_atom_site_fract_y
_atom_site_fract_z
_atom_site_occupancy
Ca1 0.000 0.000 0.000 1
Ru1 0.000 0.500 0.500 1
Pt1 0.500 0.500 0.500 1
# Formation energy (eV per atom): 1.454

---

# Ca4RuPt PBEsol relaxed
data_Ca4RuPt
_chemical_formula_sum 'Ca16 Ru4 Pt4'
_symmetry_space_group_name_H-M 'F -4 3 m'
_symmetry_Int_Tables_number 216
_symmetry_space_group_name_Hall 'F -4 2 3'
_cell_length_a 8.133
_cell_length_b 8.133
_cell_length_c 8.133
_cell_angle_alpha 90.00
_cell_angle_beta 90.00
_cell_angle_gamma 90.00
loop_
_atom_site_label
_atom_site_fract_x
_atom_site_fract_y
_atom_site_fract_z
_atom_site_occupancy
Ca1 0.125 0.125 0.125 1
Ru1 0.250 0.250 0.750 1
Pt1 0.000 0.000 0.500 1
# Formation energy (eV per atom): 0.840

---

# Ca2RuPt PBEsol relaxed
data_Ca2RuPt
_chemical_formula_sum 'Ca2 Ru1 Pt1'
_symmetry_space_group_name_H-M 'P 4/m m m'
_symmetry_Int_Tables_number 123
_symmetry_space_group_name_Hall '-P 4 2'
_cell_length_a 4.605
_cell_length_b 4.605
_cell_length_c 3.634
_cell_angle_alpha 90.00
_cell_angle_beta 90.00
_cell_angle_gamma 90.00
loop_
_atom_site_label
_atom_site_fract_x
_atom_site_fract_y
_atom_site_fract_z
_atom_site_occupancy
Ca1 0.000 0.500 0.000 1
Ru1 0.000 0.000 0.500 1
Pt1 0.500 0.500 0.500 1
# Formation energy (eV per atom): -0.051

---

# CaRuPt PBEsol relaxed
data_CaRuPt
_chemical_formula_sum 'Ca4 Ru4 Pt4'
_symmetry_space_group_name_H-M 'F -4 3 m'
_symmetry_Int_Tables_number 216
_symmetry_space_group_name_Hall 'F -4 2 3'
_cell_length_a 6.195
_cell_length_b 6.195
_cell_length_c 6.195
_cell_angle_alpha 90.00
_cell_angle_beta 90.00
_cell_angle_gamma 90.00
loop_
_atom_site_label
_atom_site_fract_x
_atom_site_fract_y
_atom_site_fract_z
_atom_site_occupancy
Ca1 0.000 0.000 0.000 1
Ru1 0.250 0.250 0.250 1
Pt1 0.250 0.250 0.750 1
# Formation energy (eV per atom): 1.071

---

# CaPtS2 PBEsol relaxed
data_CaPtS2
_chemical_formula_sum 'Ca4 Pt4 S8'
_symmetry_space_group_name_H-M 'F m -3 m'
_symmetry_Int_Tables_number 225
_symmetry_space_group_name_Hall '-F 4 2 3'
_cell_length_a 6.476
_cell_length_b 6.476
_cell_length_c 6.476
_cell_angle_alpha 90.00
_cell_angle_beta 90.00
_cell_angle_gamma 90.00
loop_
_atom_site_label
_atom_site_fract_x
_atom_site_fract_y
_atom_site_fract_z
_atom_site_occupancy
Ca1 0.000 0.000 0.000 1
Pt1 0.000 0.000 0.500 1
S1 0.250 0.250 0.250 1
# Energy relative to the elements, uncorrected (kJ/mol of formula units): -205

---

# CaSb3Pt PBEsol relaxed
data_CaSb3Pt
_chemical_formula_sum 'Ca1 Sb3 Pt1'
_symmetry_space_group_name_H-M 'P m -3 m'
_symmetry_Int_Tables_number 221
_symmetry_space_group_name_Hall '-P 4 2 3'
_cell_length_a 5.272
_cell_length_b 5.272
_cell_length_c 5.272
_cell_angle_alpha 90.00
_cell_angle_beta 90.00
_cell_angle_gamma 90.00
loop_
_atom_site_label
_atom_site_fract_x
_atom_site_fract_y
_atom_site_fract_z
_atom_site_occupancy
Ca1 0.000 0.000 0.000 1
Sb1 0.000 0.500 0.500 1
Pt1 0.500 0.500 0.500 1
# Energy relative to the elements, uncorrected (kJ/mol of formula units): -22

---

# Ca2ScPt2 PBEsol relaxed
data_Ca2ScPt2
_chemical_formula_sum 'Ca4 Sc2 Pt4'
_symmetry_space_group_name_H-M 'P 4/m b m'
_symmetry_Int_Tables_number 127
_symmetry_space_group_name_Hall '-P 4 2ab'
_cell_length_a 7.067
_cell_length_b 7.067
_cell_length_c 4.419
_cell_angle_alpha 90.00
_cell_angle_beta 90.00
_cell_angle_gamma 90.00
loop_
_atom_site_label
_atom_site_fract_x
_atom_site_fract_y
_atom_site_fract_z
_atom_site_occupancy
Ca1 0.169 0.331 0.000 1
Sc1 0.000 0.000 0.500 1
Pt1 0.135 0.635 0.500 1
# Formation energy (eV per atom): -0.813

---

# CaSc2Pt PBEsol relaxed
data_CaSc2Pt
_chemical_formula_sum 'Ca2 Sc4 Pt2'
_symmetry_space_group_name_H-M 'I -4 m 2'
_symmetry_Int_Tables_number 119
_symmetry_space_group_name_Hall 'I -4 -2'
_cell_length_a 4.133
_cell_length_b 4.133
_cell_length_c 9.742
_cell_angle_alpha 90.00
_cell_angle_beta 90.00
_cell_angle_gamma 90.00
loop_
_atom_site_label
_atom_site_fract_x
_atom_site_fract_y
_atom_site_fract_z
_atom_site_occupancy
Ca1 0.000 0.000 0.000 1
Sc1 0.000 0.000 0.500 1
Sc2 0.000 0.500 0.750 1
Pt1 0.000 0.500 0.250 1
# Formation energy (eV per atom): -0.249

---

# CaSc2Pt2 PBEsol relaxed
data_CaSc2Pt2
_chemical_formula_sum 'Ca2 Sc4 Pt4'
_symmetry_space_group_name_H-M 'I 4/m m m'
_symmetry_Int_Tables_number 139
_symmetry_space_group_name_Hall '-I 4 2'
_cell_length_a 4.365
_cell_length_b 4.365
_cell_length_c 11.432
_cell_angle_alpha 90.00
_cell_angle_beta 90.00
_cell_angle_gamma 90.00
loop_
_atom_site_label
_atom_site_fract_x
_atom_site_fract_y
_atom_site_fract_z
_atom_site_occupancy
Ca1 0.000 0.000 0.000 1
Sc1 0.000 0.500 0.250 1
Pt1 0.000 0.000 0.385 1
# Formation energy (eV per atom): -0.963

---

# Ca2PtSe PBEsol relaxed
data_Ca2PtSe
_chemical_formula_sum 'Ca2 Pt1 Se1'
_symmetry_space_group_name_H-M 'P 4/m m m'
_symmetry_Int_Tables_number 123
_symmetry_space_group_name_Hall '-P 4 2'
_cell_length_a 4.106
_cell_length_b 4.106
_cell_length_c 5.821
_cell_angle_alpha 90.00
_cell_angle_beta 90.00
_cell_angle_gamma 90.00
loop_
_atom_site_label
_atom_site_fract_x
_atom_site_fract_y
_atom_site_fract_z
_atom_site_occupancy
Ca1 0.000 0.000 0.000 1
Ca2 0.500 0.500 0.500 1
Pt1 0.000 0.000 0.500 1
Se1 0.500 0.500 0.000 1
# Energy relative to the elements, uncorrected (kJ/mol of formula units): -478

---

# CaPtSe2 PBEsol relaxed
data_CaPtSe2
_chemical_formula_sum 'Ca3 Pt3 Se6'
_symmetry_space_group_name_H-M 'R -3 m'
_symmetry_Int_Tables_number 166
_symmetry_space_group_name_Hall '-R 3 2"'
_cell_length_a 3.8046
_cell_length_b 3.8046
_cell_length_c 24.7664
_cell_angle_alpha 90.00
_cell_angle_beta 90.00
_cell_angle_gamma 120.00
loop_
_atom_site_label
_atom_site_fract_x
_atom_site_fract_y
_atom_site_fract_z
_atom_site_occupancy
Ca1 0.0000 0.0000 0.0000 1
Pt1 0.0000 0.0000 0.5000 1
Se1 0.0000 0.0000 0.1155 1
# Energy relative to the elements, uncorrected (kJ/mol of formula units): -165

---

# Ca3PtSe PBEsol relaxed
data_Ca3PtSe
_chemical_formula_sum 'Ca3 Pt1 Se1'
_symmetry_space_group_name_H-M 'P m -3 m'
_symmetry_Int_Tables_number 221
_symmetry_space_group_name_Hall '-P 4 2 3'
_cell_length_a 5.389
_cell_length_b 5.389
_cell_length_c 5.389
_cell_angle_alpha 90.00
_cell_angle_beta 90.00
_cell_angle_gamma 90.00
loop_
_atom_site_label
_atom_site_fract_x
_atom_site_fract_y
_atom_site_fract_z
_atom_site_occupancy
Ca1 0.000 0.000 0.500 1
Pt1 0.000 0.000 0.000 1
Se1 0.500 0.500 0.500 1
# Energy relative to the elements, uncorrected (kJ/mol of formula units): -330

---

# CaPt3Se PBEsol relaxed
data_CaPt3Se
_chemical_formula_sum 'Ca1 Pt3 Se1'
_symmetry_space_group_name_H-M 'P m -3 m'
_symmetry_Int_Tables_number 221
_symmetry_space_group_name_Hall '-P 4 2 3'
_cell_length_a 4.838
_cell_length_b 4.838
_cell_length_c 4.838
_cell_angle_alpha 90.00
_cell_angle_beta 90.00
_cell_angle_gamma 90.00
loop_
_atom_site_label
_atom_site_fract_x
_atom_site_fract_y
_atom_site_fract_z
_atom_site_occupancy
Ca1 0.000 0.000 0.000 1
Pt1 0.000 0.000 0.500 1
Se1 0.500 0.500 0.500 1
# Energy relative to the elements, uncorrected (kJ/mol of formula units): 735

---

# SrCaPtSe2 PBEsol relaxed
data_SrCaPtSe2
_chemical_formula_sum 'Sr1 Ca1 Pt1 Se2'
_symmetry_space_group_name_H-M 'P 4/m m m'
_symmetry_Int_Tables_number 123
_symmetry_space_group_name_Hall '-P 4 2'
_cell_length_a 5.256
_cell_length_b 5.256
_cell_length_c 5.122
_cell_angle_alpha 90.00
_cell_angle_beta 90.00
_cell_angle_gamma 90.00
loop_
_atom_site_label
_atom_site_fract_x
_atom_site_fract_y
_atom_site_fract_z
_atom_site_occupancy
Sr1 0.000 0.000 0.000 1
Ca1 0.500 0.500 0.000 1
Pt1 0.000 0.000 0.500 1
Se1 0.000 0.500 0.500 1
# Energy relative to the elements, uncorrected (kJ/mol of formula units): -228

---

# Ca2Si5Pt3 PBEsol relaxed
data_Ca2Si5Pt3
_chemical_formula_sum 'Ca8 Si20 Pt12'
_symmetry_space_group_name_H-M 'I b a m'
_symmetry_Int_Tables_number 72
_symmetry_space_group_name_Hall '-I 2 2c'
_cell_length_a 10.017
_cell_length_b 11.477
_cell_length_c 5.901
_cell_angle_alpha 90.00
_cell_angle_beta 90.00
_cell_angle_gamma 90.00
loop_
_atom_site_label
_atom_site_fract_x
_atom_site_fract_y
_atom_site_fract_z
_atom_site_occupancy
Ca1 0.233 0.130 0.000 1
Si1 0.000 0.000 0.250 1
Si2 0.000 0.271 0.250 1
Si3 0.151 0.389 0.000 1
Pt1 0.000 0.500 0.250 1
Pt2 0.115 0.136 0.500 1
# Energy relative to the elements, uncorrected (kJ/mol of formula units): -858

---

# Ca2Si2Pt PBEsol relaxed
data_Ca2Si2Pt
_chemical_formula_sum 'Ca4 Si4 Pt2'
_symmetry_space_group_name_H-M 'P 4/m b m'
_symmetry_Int_Tables_number 127
_symmetry_space_group_name_Hall '-P 4 2ab'
_cell_length_a 6.451
_cell_length_b 6.451
_cell_length_c 4.643
_cell_angle_alpha 90.00
_cell_angle_beta 90.00
_cell_angle_gamma 90.00
loop_
_atom_site_label
_atom_site_fract_x
_atom_site_fract_y
_atom_site_fract_z
_atom_site_occupancy
Ca1 0.173 0.327 0.000 1
Si1 0.134 0.634 0.500 1
Pt1 0.000 0.000 0.500 1
# Energy relative to the elements, uncorrected (kJ/mol of formula units): -377

---

# CaSiPt2 PBEsol relaxed
data_CaSiPt2
_chemical_formula_sum 'Ca1 Si1 Pt2'
_symmetry_space_group_name_H-M 'P 4/m m m'
_symmetry_Int_Tables_number 123
_symmetry_space_group_name_Hall '-P 4 2'
_cell_length_a 4.126
_cell_length_b 4.126
_cell_length_c 3.832
_cell_angle_alpha 90.00
_cell_angle_beta 90.00
_cell_angle_gamma 90.00
loop_
_atom_site_label
_atom_site_fract_x
_atom_site_fract_y
_atom_site_fract_z
_atom_site_occupancy
Ca1 0.000 0.000 0.000 1
Si1 0.500 0.500 0.000 1
Pt1 0.000 0.500 0.500 1
# Energy relative to the elements, uncorrected (kJ/mol of formula units): -202

---

| no. | total moment (μB/f.u.) |
| --- | --- |
| 1 | 0.00 |
| 2 | 0.94 |
| 3 | 1.16 |
| 4 | 0.00 |
| 5 | 0.00 |
| 6 | 0.00 |
| 7 | 0.00 |
| 8 | 0.00 |
| 9 | 0.66 |
| 10 | 2.50 |
| 11 | 0.00 |
| 12 | 0.00 |
| 13 | 1.05 |
| 14 | 0.01 |
| 15 | 0.00 |
| 16 | 0.00 |
| 17 | 0.00 |
| 18 | 0.00 |
| 19 | 0.00 |
| 20 | 0.00 |
| 21 | 0.00 |
| 22 | 0.00 |
| 23 | 0.00 |
| 24 | 0.00 |
| 25 | 0.00 |
| 26 | 0.00 |